Record 1
Material: Re2RhSe
Method: DFT, GGA-PBE
State: optimized geometry Values from VASP.

Cell and atoms, written as Quantum ESPRESSO input:
```
&SYSTEM
  ibrav = 0, nat = 4, ntyp = 3
/
ATOMIC_SPECIES
Re 186.21 Re.upf
Rh 102.91 Rh.upf
Se 78.96 Se.upf
ATOMIC_POSITIONS angstrom
Re 0.0000 0.0000 0.0000
Re 1.4535 1.9022 1.1429
Rh 0.0000 0.0000 2.7277
Se 1.4535 1.9022 3.7546
CELL_PARAMETERS angstrom
2.9071 0.0000 0.0000
0.0000 3.8044 0.0000
0.0000 0.0000 5.6554
```

Record 2
Material: Na2LaPb2
Method: DFT, GGA-PBE
State: optimized geometry Values from VASP.

Results
- energy above the most stable polymorph in this dataset (eV/atom) = 0.0000

Cell and atoms, written as Quantum ESPRESSO input:
```
&SYSTEM
  ibrav = 0, nat = 5, ntyp = 3
/
ATOMIC_SPECIES
Na 22.99 Na.upf
La 138.91 La.upf
Pb 207.20 Pb.upf
ATOMIC_POSITIONS angstrom
Na 2.3023 0.0000 3.7217
Na 0.0000 2.3023 3.7217
La 0.0000 0.0000 0.0000
Pb 0.0000 0.0000 5.9667
Pb 0.0000 0.0000 8.9200
CELL_PARAMETERS angstrom
-2.3023 2.3023 7.4433
2.3023 -2.3023 7.4433
2.3023 2.3023 -7.4433
```

Record 3
Material: Zn2InPt
Method: DFT, GGA-PBE
State: optimized geometry Values from VASP.

Cell and atoms, written as Quantum ESPRESSO input:
```
&SYSTEM
  ibrav = 0, nat = 4, ntyp = 3
/
ATOMIC_SPECIES
Zn 65.41 Zn.upf
In 114.82 In.upf
Pt 195.08 Pt.upf
ATOMIC_POSITIONS angstrom
Zn 0.0000 0.0000 6.2851
Zn 0.0000 0.0000 19.7984
In 0.0000 0.0000 0.0000
Pt 0.0000 0.0000 13.0417
CELL_PARAMETERS angstrom
1.5421 0.8904 8.6945
-1.5421 0.8904 8.6945
0.0000 -1.7807 8.6945
```

Record 4
Material: BaPr3B4O12
Method: DFT, GGA-PBE
State: optimized geometry Values from VASP.

Cell and atoms, written as Quantum ESPRESSO input:
```
&SYSTEM
  ibrav = 0, nat = 20, ntyp = 4
/
ATOMIC_SPECIES
Ba 137.33 Ba.upf
Pr 140.91 Pr.upf
B 10.81 B.upf
O 16.00 O.upf
ATOMIC_POSITIONS angstrom
Ba 0.0000 0.0000 0.0000
Pr -2.8319 -1.2138 3.1049
Pr 2.4672 -1.8456 3.1049
Pr 0.3647 3.0595 3.1049
B -2.4614 -4.2633 4.6574
B 0.0000 0.0000 4.6574
B -2.4614 4.2633 4.6574
B 4.9228 0.0000 4.6574
O -3.1560 -3.0850 4.4937
O -4.2842 0.0000 4.6574
O -1.0937 -4.2757 4.8212
O -1.3901 0.0000 4.6574
O -3.1560 3.0850 4.8212
O 2.1421 -3.7103 4.6574
O 0.6951 -1.2039 4.6574
O -1.0937 4.2757 4.4937
O 0.6951 1.2039 4.6574
O 4.2497 -1.1907 4.4937
O 2.1421 3.7103 4.6574
O 4.2497 1.1907 4.8212
CELL_PARAMETERS angstrom
5.2991 3.0595 3.1049
-5.2991 3.0595 3.1049
0.0000 -6.1189 3.1049
```

Record 5
Material: Li2InBr
Method: DFT, GGA-PBE
State: optimized geometry Values from VASP.

Results
- energy above the most stable polymorph in this dataset (eV/atom) = 0.2198

Cell and atoms, written as Quantum ESPRESSO input:
```
&SYSTEM
  ibrav = 0, nat = 4, ntyp = 3
/
ATOMIC_SPECIES
Li 6.94 Li.upf
In 114.82 In.upf
Br 79.90 Br.upf
ATOMIC_POSITIONS angstrom
Li 1.5846 2.0501 0.0000
Li 1.5846 -2.0501 0.0000
In -0.0265 0.0000 1.7227
Br 3.1428 0.0000 1.7227
CELL_PARAMETERS angstrom
3.1692 -4.1003 0.0000
3.1692 4.1003 0.0000
-0.0530 0.0000 3.4454
```

Record 6
Material: SmSnPt
Method: DFT, GGA-PBE
State: optimized geometry Values from VASP.

Cell and atoms, written as Quantum ESPRESSO input:
```
&SYSTEM
  ibrav = 0, nat = 3, ntyp = 3
/
ATOMIC_SPECIES
Sm 150.36 Sm.upf
Sn 118.71 Sn.upf
Pt 195.08 Pt.upf
ATOMIC_POSITIONS angstrom
Sm 0.0000 0.0000 0.0000
Sn 2.3472 1.3552 1.8315
Pt 0.0000 2.7103 1.8315
CELL_PARAMETERS angstrom
4.6945 0.0000 0.0000
-2.3472 4.0655 0.0000
0.0000 0.0000 3.6630
```

Across the entries above, total moment takes the values 0.000, 0.000, 0.000, 0.055, 0.000, 0.000 μB per atom, respectively.
Across the entries above, E_tot takes the values -8.580, -3.270, -2.947, -7.958, -2.564, -5.911 eV per atom, respectively.